Record 1
This record from Alexandria via LeMat-Bulk describes AlFeSb2 after structural relaxation. The functional is GGA-PBEsol.

Uncorrected formation energy   0.202 eV/atom

```
AlFeSb2
1.0
-0.414 1.392 -2.639
-3.962 0.876 1.083
4.000 4.041 3.223
Sb Fe Al
2 1 1
direct
0.939 0.939 0.879
0.732 0.232 0.464
0.256 0.756 0.512
0.572 0.572 0.145
```


Record 2
This record from Alexandria via LeMat-Bulk describes Li2PtAu after structural relaxation. The functional is GGA-PBEsol.

Energy of formation   -0.5006 eV per atom

```
Li2PtAu
1.0
-3.707 -0.914 0.722
0.953 -3.765 0.126
2.007 2.619 3.168
Au Pt Li
1 1 2
direct
0.000 0.000 0.000
0.500 0.500 0.000
0.250 0.750 0.500
0.750 0.250 0.500
```


Record 3
This record from Alexandria via LeMat-Bulk describes Nb3PRu after structural relaxation. The functional is GGA-PBEsol.

Energy of formation   0.4883 eV per atom

```
Nb3PRu
1.0
-0.053 -4.506 -0.022
1.092 0.008 -4.372
4.372 -0.056 1.092
Ru Nb P
1 3 1
direct
0.500 0.500 0.500
0.000 0.500 0.000
0.000 0.000 0.500
0.500 0.000 0.000
0.000 0.000 0.000
```


Record 4
This record from Alexandria via LeMat-Bulk describes V3AsC after structural relaxation. The functional is GGA-PBEsol.

Energy of formation   -0.5923 eV per atom

```
V3AsC
1.0
3.081 0.000 0.000
-1.541 4.996 0.000
0.000 0.000 7.633
V As C
6 2 2
direct
0.127 0.255 0.950
0.545 0.091 0.250
0.455 0.909 0.750
0.127 0.255 0.550
0.873 0.745 0.450
0.873 0.745 0.050
0.243 0.485 0.250
0.757 0.515 0.750
0.500 0.000 0.000
0.500 0.000 0.500
```


Record 5
This record from Alexandria via LeMat-Bulk describes Nb3PO after structural relaxation. The functional is GGA-PBEsol.

Uncorrected formation energy   0.887 eV/atom

```
Nb3PO
1.0
-2.029 3.611 1.910
-3.048 -2.758 1.976
2.720 -0.397 3.640
P Nb O
1 3 1
direct
0.000 0.000 0.000
0.000 0.500 0.000
0.000 0.000 0.500
0.500 0.000 0.000
0.500 0.500 0.500
```


Record 6
This record from Alexandria via LeMat-Bulk describes ZnNiGe3 after structural relaxation. The functional is GGA-PBEsol.

Energy of formation   0.9947 eV per atom

```
ZnNiGe3
1.0
-1.599 -4.275 -0.902
1.113 -1.327 4.318
-4.225 1.268 1.479
Ni Ge Zn
1 3 1
direct
0.500 0.500 0.500
0.000 0.500 0.000
0.000 0.000 0.500
0.500 0.000 0.000
0.000 0.000 0.000
```


Record 7
This record from Alexandria via LeMat-Bulk describes YSbCI2 after structural relaxation. The functional is GGA-PBEsol.

Uncorrected formation energy   1.152 eV/atom

```
YSbCI2
1.0
5.788 0.000 0.000
0.000 5.788 0.000
0.000 0.000 6.040
I Sb C Y
2 1 1 1
direct
0.000 0.500 0.000
0.500 0.000 0.000
0.000 0.000 0.500
0.500 0.500 0.500
0.000 0.000 0.000
```


Record 8
This record from Alexandria via LeMat-Bulk describes MnCoB2 after structural relaxation. The functional is GGA-PBEsol.

Energy of formation   -0.4563 eV per atom

```
MnCoB2
1.0
-1.302 -2.350 1.325
3.493 -1.838 0.173
0.904 2.161 4.720
B Co Mn
4 2 2
direct
0.000 0.637 0.534
0.000 0.363 0.034
0.500 0.878 0.466
0.500 0.122 0.966
0.000 0.132 0.679
0.000 0.868 0.179
0.500 0.377 0.321
0.500 0.623 0.821
```


Record 9
This record from Alexandria via LeMat-Bulk describes Ti3Co2SbP6O24 after structural relaxation. The functional is GGA-PBEsol.

Uncorrected formation energy   -2.173 eV/atom

```
Ti3Co2SbP6O24
1.0
-5.077 0.758 6.585
-7.289 -4.057 -0.362
-0.844 -6.699 4.912
Ti Co Sb P O
3 2 1 6 24
direct
0.646 0.646 0.646
0.863 0.863 0.863
0.353 0.353 0.353
0.001 0.001 0.001
0.499 0.499 0.499
0.154 0.154 0.154
0.936 0.249 0.557
0.557 0.936 0.249
0.249 0.557 0.936
0.747 0.460 0.050
0.460 0.050 0.747
0.050 0.747 0.460
0.479 0.111 0.315
0.315 0.479 0.111
0.111 0.315 0.479
0.943 0.095 0.752
0.929 0.175 0.426
0.746 0.410 0.588
0.752 0.943 0.095
0.588 0.746 0.410
0.809 0.625 0.013
0.410 0.588 0.746
0.905 0.267 0.056
0.625 0.013 0.809
0.426 0.929 0.175
0.095 0.752 0.943
0.585 0.439 0.243
0.175 0.426 0.929
0.439 0.243 0.585
0.267 0.056 0.905
0.243 0.585 0.439
0.013 0.809 0.625
0.056 0.905 0.267
0.889 0.673 0.514
0.673 0.514 0.889
0.514 0.889 0.673
```


Record 10
This record from Alexandria via LeMat-Bulk describes Be2NbAsIr after structural relaxation. The functional is GGA-PBEsol.

Energy of formation   0.6050 eV per atom

```
Be2NbAsIr
1.0
-1.531 0.391 3.755
0.048 -4.049 0.442
4.443 0.248 1.786
Be Nb Ir As
2 1 1 1
direct
0.000 0.500 0.000
0.500 0.000 0.000
0.500 0.500 0.500
0.000 0.000 0.000
0.000 0.000 0.500
```


Record 11
This record from Alexandria via LeMat-Bulk describes TaFePt2 after structural relaxation. The functional is GGA-PBEsol.

Energy of formation   -0.2917 eV per atom

```
TaFePt2
1.0
2.798 0.000 0.000
0.000 4.671 0.014
-1.399 -0.886 4.462
Fe Pt Ta
1 2 1
direct
0.500 0.000 0.000
0.245 0.243 0.489
0.755 0.757 0.511
0.000 0.500 0.000
```


Record 12
This record from Alexandria via LeMat-Bulk describes Y5Hg after structural relaxation. The functional is GGA-PBEsol.

Energy of formation   -0.1744 eV per atom

```
Y5Hg
1.0
-2.820 -2.362 0.276
4.810 -3.167 -2.607
0.655 0.192 8.344
Y Hg
5 1
direct
0.384 0.767 0.198
0.697 0.395 0.361
0.028 0.056 0.556
0.358 0.716 0.749
0.672 0.344 0.913
0.027 0.055 0.055
```


Record 13
This record from Alexandria via LeMat-Bulk describes Y2Rh2Au after structural relaxation. The functional is GGA-PBEsol.

Energy of formation   -0.7602 eV per atom

```
Y2Rh2Au
1.0
3.761 0.000 0.000
0.000 7.191 0.000
0.000 0.000 7.191
Y Rh Au
4 4 2
direct
0.500 0.173 0.673
0.500 0.673 0.827
0.500 0.827 0.327
0.500 0.327 0.173
0.000 0.368 0.868
0.000 0.868 0.632
0.000 0.632 0.132
0.000 0.132 0.368
0.000 0.000 0.000
0.000 0.500 0.500
```


Record 14
This record from Alexandria via LeMat-Bulk describes NaPt after structural relaxation. The functional is GGA-PBEsol.

Energy of formation   0.0691 eV per atom

```
NaPt
1.0
3.440 0.000 0.000
0.000 3.440 0.000
0.000 0.000 8.025
Na Pt
2 2
direct
0.500 0.000 0.800
0.000 0.500 0.200
0.500 0.000 0.450
0.000 0.500 0.550
```


Record 15
This record from Alexandria via LeMat-Bulk describes Y7In after structural relaxation. The functional is GGA-PBEsol.

Energy of formation   -0.0943 eV per atom

```
Y7In
1.0
6.918 0.000 0.000
3.459 5.991 0.000
3.459 1.997 5.649
Y In
7 1
direct
0.000 0.000 0.500
0.000 0.500 0.000
0.500 0.000 0.000
0.500 0.500 0.000
0.500 0.000 0.500
0.000 0.500 0.500
0.500 0.500 0.500
0.000 0.000 0.000
```


Record 16
This record from Alexandria via LeMat-Bulk describes GaBiOs2W after structural relaxation. The functional is GGA-PBEsol.

Energy of formation   3.1497 eV per atom

```
GaBiOs2W
1.0
-4.517 -1.295 1.310
-1.120 -0.824 -4.676
1.480 -4.685 0.472
Ga Os Bi W
1 2 1 1
direct
0.000 0.000 0.500
0.000 0.500 0.000
0.500 0.000 0.000
0.000 0.000 0.000
0.500 0.500 0.500
```


Record 17
This record from Alexandria via LeMat-Bulk describes Cs3MnBe after structural relaxation. The functional is GGA-PBEsol.

Energy of formation   1.3515 eV per atom

```
Cs3MnBe
1.0
6.835 0.000 0.000
0.000 6.835 0.000
0.000 0.000 6.835
Cs Be Mn
3 1 1
direct
0.000 0.500 0.000
0.000 0.000 0.500
0.500 0.000 0.000
0.500 0.500 0.500
0.000 0.000 0.000
```


Record 18
This record from Alexandria via LeMat-Bulk describes ZrZnAg after structural relaxation. The functional is GGA-PBEsol.

Energy of formation   0.1468 eV per atom

```
ZrZnAg
1.0
4.335 0.000 0.000
2.168 3.754 0.000
2.168 1.251 3.540
Ag Zn Zr
1 1 1
direct
0.500 0.500 0.500
0.250 0.250 0.250
0.000 0.000 0.000
```


Record 19
This record from Alexandria via LeMat-Bulk describes Tb11S16 after structural relaxation. The functional is GGA-PBEsol.

Uncorrected formation energy   -2.136 eV/atom

```
Tb11S16
1.0
-6.823 3.487 2.885
1.746 -2.806 7.521
8.402 13.797 3.196
Tb S
22 32
direct
0.259 0.367 0.879
0.501 0.752 0.818
0.737 0.123 0.877
0.021 0.756 0.939
0.737 0.877 0.123
0.635 0.500 0.000
0.021 0.244 0.061
0.259 0.633 0.121
0.501 0.248 0.182
0.263 0.377 0.377
0.877 0.496 0.250
0.123 0.996 0.250
0.499 0.748 0.318
0.741 0.133 0.379
0.979 0.744 0.439
0.741 0.867 0.621
0.365 0.000 0.500
0.979 0.256 0.561
0.263 0.623 0.623
0.499 0.252 0.682
0.877 0.504 0.750
0.123 0.004 0.750
0.179 0.680 0.786
0.421 0.077 0.832
0.936 0.435 0.911
0.580 0.425 0.840
0.063 0.079 0.908
0.822 0.828 0.784
0.696 0.182 0.038
0.696 0.818 0.962
0.936 0.565 0.089
0.338 0.672 0.961
0.421 0.923 0.168
0.063 0.921 0.092
0.580 0.575 0.160
0.338 0.328 0.039
0.178 0.672 0.284
0.179 0.320 0.214
0.420 0.075 0.340
0.822 0.172 0.216
0.937 0.421 0.408
0.579 0.423 0.332
0.064 0.065 0.411
0.821 0.820 0.286
0.662 0.172 0.539
0.662 0.828 0.461
0.937 0.579 0.592
0.304 0.682 0.462
0.420 0.925 0.660
0.064 0.935 0.589
0.579 0.577 0.668
0.304 0.318 0.538
0.178 0.328 0.716
0.821 0.180 0.714
```


Record 20
This record from Alexandria via LeMat-Bulk describes K2ScCo after structural relaxation. The functional is GGA-PBEsol.

Energy of formation   1.3940 eV per atom

```
K2ScCo
1.0
-2.691 3.283 3.586
-4.187 -2.040 3.031
0.637 -0.749 5.469
Co K Sc
1 2 1
direct
0.000 0.000 0.000
0.250 0.250 0.250
0.750 0.750 0.750
0.500 0.500 0.500
```


Record 21
This record from Alexandria via LeMat-Bulk describes Ca2MoIr after structural relaxation. The functional is GGA-PBEsol.

Energy of formation   0.5556 eV per atom

```
Ca2MoIr
1.0
3.437 0.000 0.000
0.000 4.520 0.000
-1.719 -2.260 4.940
Mo Ir Ca
1 1 2
direct
0.000 0.500 0.000
0.500 0.000 0.000
0.773 0.773 0.546
0.227 0.227 0.454
```


Record 22
This record from Alexandria via LeMat-Bulk describes LiTc after structural relaxation. The functional is GGA-PBEsol.

Energy of formation   0.1417 eV per atom

```
LiTc
1.0
-0.501 -0.238 -2.675
-2.031 -0.304 1.802
-1.782 9.091 -0.476
Li Tc
2 2
direct
0.333 0.667 0.142
0.667 0.333 0.858
0.333 0.667 0.607
0.667 0.333 0.393
```


Record 23
This record from Alexandria via LeMat-Bulk describes NaTe3H after structural relaxation. The functional is GGA-PBEsol.

Raw total energy   -2.041 eV per atom

```
NaTe3H
1.0
-2.109 4.098 2.905
-4.412 -0.005 -3.195
-2.400 -3.589 3.321
Na Te H
1 3 1
direct
0.000 0.000 0.000
0.000 0.500 0.000
0.000 0.000 0.500
0.500 0.000 0.000
0.500 0.500 0.500
```


Record 24
This record from Alexandria via LeMat-Bulk describes Cd2NiBr after structural relaxation. The functional is GGA-PBEsol.

Uncorrected formation energy   0.338 eV/atom

```
Cd2NiBr
1.0
3.161 0.000 0.000
0.000 4.471 0.000
0.000 0.000 5.515
Br Cd Ni
1 2 1
direct
0.000 0.500 0.500
0.000 0.000 0.000
0.500 0.500 0.000
0.500 0.000 0.500
```